# PaPRuS

PaPRuS after structural relaxation (PBE, the Alexandria database).

Density of states at the Fermi level   0.8 states/eV/f.u.
Symmetry   No. 129
Total energy   -0.3027 Ha/atom
Theoretical density   9.24 g/cm³
E_form (uncorrected)   -1.159 eV per atom
Crystal system   tetragonal

The structure in POSCAR format:
```
PaPRuS
1.0
-3.081 -0.117 2.703
-2.485 -1.496 -2.898
2.203 -7.864 2.171
Pa P Ru S
2 2 2 2
direct
0.500 0.000 0.716
0.000 0.500 0.284
0.000 0.500 0.852
0.500 0.000 0.148
0.500 0.500 0.000
0.000 0.000 0.000
0.000 0.000 0.500
0.500 0.500 0.500
```